Density functional theory data (PBE) for a geometry-optimized Ag2Pd2Pt structure.

## Properties
Its energy above the most stable polymorph in this dataset is 27.1 kJ/mol of atoms. Its space group is P4/mbm, No. 127. For the density, the calculation gives 12.08 g/cm³. Its density of states at the Fermi level is 0.668 states/eV/atom. The volume is 17.15 Å³ per atom.

Cell: 7.6293 7.6293 2.9456 Å, 90.00 90.00 90.00°
Fractional positions:
1 Ag 0.1669 0.3331 0.0000
2 Ag 0.3331 0.8331 0.0000
3 Ag 0.6669 0.1669 0.0000
4 Ag 0.8331 0.6669 0.0000
5 Pd 0.1311 0.6311 0.5000
6 Pd 0.3689 0.1311 0.5000
7 Pd 0.6311 0.8689 0.5000
8 Pd 0.8689 0.3689 0.5000
9 Pt 0.0000 0.0000 0.5000
10 Pt 0.5000 0.5000 0.5000